(1)
# Ga2BiTe2 (GGA-PBE, optimized geometry)
data_Ga2BiTe2
_cell_length_a 3.984
_cell_length_b 3.984
_cell_length_c 17.270
_cell_angle_alpha 90.00
_cell_angle_beta 90.00
_cell_angle_gamma 90.00
_symmetry_space_group_name_H-M 'I 4/m m m'
_symmetry_Int_Tables_number 139
_symmetry_space_group_name_Hall '-I 4 2'
loop_
_atom_site_label
_atom_site_fract_x
_atom_site_fract_y
_atom_site_fract_z
Ga1 0.000 0.500 0.250
Bi1 0.000 0.000 0.000
Te1 0.000 0.000 0.393
# - DOS at the Fermi energy: 2.907 states/eV/cell
# - Magnetic moment: 0.0 μB per cell
# - Formation energy from raw total energies: 0.0235 eV per atom

---

(2)
# TiMnBr6 (GGA-PBE, optimized geometry)
data_TiMnBr6
_cell_length_a 6.457
_cell_length_b 13.096
_cell_length_c 6.461
_cell_angle_alpha 90.00
_cell_angle_beta 109.42
_cell_angle_gamma 90.00
_symmetry_space_group_name_H-M 'C 1 2/m 1'
_symmetry_Int_Tables_number 12
loop_
_symmetry_equiv_pos_as_xyz
'x,y,z'
'-x,-y,-z'
'-x,y,-z'
'x,-y,z'
'x+1/2,y+1/2,z'
'-x+1/2,-y+1/2,-z'
'-x+1/2,y+1/2,-z'
'x+1/2,-y+1/2,z'
loop_
_atom_site_label
_atom_site_fract_x
_atom_site_fract_y
_atom_site_fract_z
Ti1 0.000 0.000 0.000
Mn1 0.000 0.500 0.500
Br1 0.236 0.000 0.763
Br2 0.242 0.138 0.242
# - DOS at the Fermi energy: 1.103 states/eV/cell
# - Magnetic moment: 10.0 μB per cell
# - Formation energy from raw total energies: -0.9409 eV per atom

---

(3)
# LiFeOs2 (GGA-PBE, optimized geometry)
data_LiFeOs2
_cell_length_a 2.762
_cell_length_b 4.497
_cell_length_c 9.042
_cell_angle_alpha 90.00
_cell_angle_beta 90.00
_cell_angle_gamma 90.00
_symmetry_space_group_name_H-M 'C m m 2'
_symmetry_Int_Tables_number 35
loop_
_symmetry_equiv_pos_as_xyz
'x,y,z'
'-x,-y,z'
'-x,y,z'
'x,-y,z'
'x+1/2,y+1/2,z'
'-x+1/2,-y+1/2,z'
'-x+1/2,y+1/2,z'
'x+1/2,-y+1/2,z'
loop_
_atom_site_label
_atom_site_fract_x
_atom_site_fract_y
_atom_site_fract_z
Li1 0.000 0.000 0.000
Fe1 0.000 0.500 0.252
Os1 0.000 0.000 0.488
Os2 0.000 0.500 0.744
# - ΔH_f (0 K): 1.70 eV/f.u.
# - DOS at the Fermi energy: 9.106 states/eV/cell
# - Magnetic moment: 4.1 μB per cell

---

Look up the magnetic moment of the first one. 0.0 μB per cell

---

Which of these has the highest magnetic moment? TiMnBr6

---

What did the second record say?
# TiMnBr6 (GGA-PBE, optimized geometry)
data_TiMnBr6
_cell_length_a 6.457
_cell_length_b 13.096
_cell_length_c 6.461
_cell_angle_alpha 90.00
_cell_angle_beta 109.42
_cell_angle_gamma 90.00
_symmetry_space_group_name_H-M 'C 1 2/m 1'
_symmetry_Int_Tables_number 12
loop_
_symmetry_equiv_pos_as_xyz
'x,y,z'
'-x,-y,-z'
'-x,y,-z'
'x,-y,z'
'x+1/2,y+1/2,z'
'-x+1/2,-y+1/2,-z'
'-x+1/2,y+1/2,-z'
'x+1/2,-y+1/2,z'
loop_
_atom_site_label
_atom_site_fract_x
_atom_site_fract_y
_atom_site_fract_z
Ti1 0.000 0.000 0.000
Mn1 0.000 0.500 0.500
Br1 0.236 0.000 0.763
Br2 0.242 0.138 0.242
# - DOS at the Fermi energy: 1.103 states/eV/cell
# - Magnetic moment: 10.0 μB per cell
# - Formation energy from raw total energies: -0.9409 eV per atom

---

Among the records above, which one has the highest magnetic moment? TiMnBr6